(1)
Material: TaZnI2N
Method: DFT, PBE
State: relaxed

Results
- excess energy over the best structure of this formula in the dataset (meV/atom) = 1166
- total moment (μB/cell) = 2.06
- space group = P4/mmm, No. 123

The structure in POSCAR format:
```
TaZnI2N
1.0
-0.157 -5.311 -1.872
5.310 -0.764 1.722
-1.194 -1.092 3.197
Zn N I Ta
1 1 2 1
Cartesian
0.000 0.000 0.000
-0.597 -0.546 1.599
-0.079 -2.656 -0.936
2.655 -0.382 0.861
1.979 -3.584 1.523
```

=====

(2)
Material: PPb2C
Method: DFT, PBE
State: relaxed

Results
- excess energy over the best structure of this formula in the dataset (meV/atom) = 0
- total moment (μB/cell) = 0.00
- space group = I-42d, No. 122

The structure in POSCAR format:
```
PPb2C
1.0
-5.047 2.956 1.064
-0.451 -2.674 5.291
0.283 4.443 5.610
Pb C P
4 2 2
Cartesian
-1.872 3.305 6.855
-4.576 3.713 9.503
-1.094 -0.043 4.895
-2.888 2.476 2.675
-2.749 0.141 3.177
-1.458 0.955 7.039
-3.757 3.770 4.925
0.000 0.000 0.000
```

=====

(3)
Material: La2TaBr
Method: DFT, PBE
State: relaxed

Results
- excess energy over the best structure of this formula in the dataset (meV/atom) = 587
- total moment (μB/cell) = 3.84
- space group = I-42d, No. 122

The structure in POSCAR format:
```
La2TaBr
1.0
-0.601 6.478 -4.463
3.341 -3.842 -6.026
-2.289 0.111 -6.504
La Br Ta
4 2 2
Cartesian
0.730 2.334 -14.143
-0.539 3.690 -5.233
-0.737 1.127 -8.724
1.449 -1.658 -5.886
1.370 1.318 -5.245
1.211 -1.207 -8.887
0.000 0.000 0.000
-0.760 3.953 -8.106
```